Entry 1:
## CaDy4Te5 (GGA-PBE)

Data for a relaxed structure of CaDy4Te5.

```
CaDy4Te5
1.0
5.5745 0.0000 2.6888
2.7873 6.9201 1.3444
-0.2191 0.0000 7.5774
Ca Dy Te
1 4 5
Cartesian
0.0088 0.0000 0.0042
3.1666 2.7785 7.6937
6.5674 5.5541 7.7659
1.5851 1.3661 3.8493
4.9860 4.1417 3.9216
5.9709 2.7738 9.0036
3.7785 5.5156 6.4259
4.3748 1.4045 5.1897
2.1824 4.1463 2.6120
2.7952 0.0000 1.3482
```

## Properties
Formation energy from raw total energies = -1.341 eV per atom

***

Entry 2:
## LiCe2Ga4Au3 (GGA-PBE)

Data for a relaxed structure of LiCe2Ga4Au3.

```
LiCe2Ga4Au3
1.0
-2.9880 -2.7521 -1.3965
3.0505 -2.3390 -1.9173
1.2057 -5.9915 9.2276
Li Ce Ga Au
1 2 4 3
Cartesian
0.6341 -5.5413 2.9569
-1.1931 -2.8712 1.6044
2.4301 -5.6659 5.9663
0.0312 -2.5456 -1.6569
0.0000 0.0000 0.0000
-0.7306 -5.1698 5.1445
1.9675 -3.3673 2.4262
0.6029 -2.9958 4.6138
-0.4546 -6.5410 7.2564
1.6916 -1.9961 0.3143
```

## Properties
Final energy = -41.33 eV for the cell shown

***

Entry 3:
## CsGa6Au12 (GGA-PBE)

Data for a relaxed structure of CsGa6Au12.

```
CsGa6Au12
1.0
-4.8775 -4.5518 -3.5565
6.4749 -1.0019 -3.7722
1.2107 -3.4704 6.6067
Cs Ga Au
1 6 12
Cartesian
0.0000 0.0000 0.0000
-1.3015 -4.3538 -1.6956
1.2680 -3.8974 2.5937
3.4898 -2.8555 -1.7867
1.5401 -5.1267 -3.3157
4.1097 -4.6703 0.9737
-0.6816 -6.1685 1.0647
-2.9268 -5.8663 -0.2787
0.4268 -6.5500 -1.3414
1.9856 -6.2731 1.2607
-0.5253 -3.3830 0.6746
0.8226 -2.7509 -1.9827
2.3813 -2.4741 0.6194
3.7267 -4.0995 3.5162
3.4123 -3.5703 -4.3204
5.7349 -3.1578 -0.4433
-0.9185 -4.9246 -4.2381
-0.6042 -5.4537 3.5985
3.3334 -5.6411 -1.3966
```

## Properties
Final energy = -60.92 eV for the cell shown

***

Entry 4:
## Sc2TlSb2 (GGA-PBE)

Data for a relaxed structure of Sc2TlSb2.

```
Sc2TlSb2
1.0
8.0294 0.0000 0.0000
0.0000 8.0294 0.0000
0.0000 0.0000 3.8822
Sc Sb Tl
4 4 2
Cartesian
2.8781 6.8928 0.0000
6.8928 5.1513 0.0000
5.1513 1.1366 0.0000
1.1366 2.8781 0.0000
1.2797 5.2944 1.9411
5.2944 6.7497 1.9411
6.7497 2.7350 1.9411
2.7350 1.2797 1.9411
0.0000 0.0000 0.0000
4.0147 4.0147 0.0000
```

## Properties
Formation energy from raw total energies = -0.557 eV per atom
Energy above the most stable polymorph in this dataset = 0.000 eV per atom

***

Entry 5:
## Na3AcSi3 (GGA-PBE)

Data for a relaxed structure of Na3AcSi3.

```
Na3AcSi3
1.0
-0.0810 -3.9597 -0.1971
7.9002 0.1721 -6.7075
1.8578 -0.5448 10.1822
Na Ac Si
6 2 6
Cartesian
6.3244 -2.8807 -4.5633
2.6843 -3.0341 0.0153
8.4684 -3.1950 0.8712
3.3525 -1.4516 7.8410
6.9926 -1.2983 3.2624
1.2085 -1.1373 2.4064
3.8105 -3.2756 4.4045
5.8664 -1.0568 -1.1268
8.2651 -3.0359 -2.2420
3.7260 -2.9139 -2.8268
5.4842 -3.1599 1.3922
1.4118 -1.2964 5.5197
5.9509 -1.4184 6.1044
4.1927 -1.1724 1.8854
```

## Properties
Formation energy from raw total energies = -0.219 eV per atom

***

Entry 6:
## Ac3La3Sm2 (GGA-PBE)

Data for a relaxed structure of Ac3La3Sm2.

```
Ac3La3Sm2
1.0
-0.7308 -0.1160 -5.3499
-0.0794 -5.3840 0.1276
-10.5628 0.1899 1.4387
Ac La Sm
3 3 2
Cartesian
-5.6468 0.0369 -1.9556
-0.0397 -2.6920 0.0638
-5.3211 -2.5970 0.7832
-8.3737 -2.6067 -1.5258
-2.9994 -2.7034 -2.2578
-0.3654 -0.0580 -2.6750
-7.9611 0.1432 1.0843
-2.6017 0.0468 0.3544
```

## Properties
Energy above the most stable polymorph in this dataset = 0.000 eV per atom

***

Entry 7:
## U3Ni5H12 (GGA-PBE)

Data for a relaxed structure of U3Ni5H12.

```
U3Ni5H12
1.0
-3.9074 -8.7630 1.6905
4.5712 -0.0874 -8.6031
6.3827 2.1241 7.0474
U Ni H
12 20 48
Cartesian
-0.4185 -6.3396 -1.0773
0.8073 -7.4677 -4.0922
5.9523 -2.0242 -1.4137
1.9881 -1.4052 1.9900
-1.2519 -7.1476 2.1657
2.9874 -2.8098 -2.9811
4.0591 -3.9166 3.1160
8.2984 0.4211 -2.0308
5.0584 -5.3213 -1.8552
1.0942 -4.7022 1.5486
6.2392 0.7413 4.2270
7.4650 -0.3869 1.2122
2.8214 -0.5972 -1.2530
2.2856 -0.0437 -4.3015
0.0000 0.0000 0.0000
0.4754 -3.0425 -0.6359
1.2377 -3.3195 4.3690
0.3319 -4.4252 -3.4563
5.3335 -0.3644 -3.5982
3.2257 -4.7247 6.3590
2.3200 -5.8304 -1.4662
3.8931 -1.7040 4.8441
3.1533 -5.0224 -4.7093
3.5232 -3.3632 0.0674
-1.9537 -4.3815 0.8453
3.1913 1.0620 3.5237
4.7265 -0.8960 1.6011
3.8208 -2.0018 -6.2241
5.4769 1.0183 -0.7778
1.7130 -6.3620 3.7331
6.5711 -3.6839 0.7708
4.2251 -6.1293 1.3879
-2.1647 -6.0095 0.3571
3.6737 -2.0004 -0.9589
-0.0498 -8.0532 0.4481
-0.4902 -4.2633 -0.0365
5.1771 -3.7556 -0.1422
-0.0310 -8.3571 -2.1630
5.1000 -2.0146 -3.5324
4.4634 -0.6703 -6.9962
6.5436 -3.8332 -2.7469
1.1298 -5.6935 -2.6267
1.6142 -6.3198 -0.0365
0.9971 -7.2644 -6.3589
5.9953 0.1366 -2.1516
0.8556 -3.3498 -2.2305
6.3622 0.0143 -4.8553
2.6215 -2.3794 4.0023
1.6704 -0.3723 -0.0671
1.7668 -4.1659 -4.3547
2.9635 -6.6194 -4.2672
2.0841 -0.7258 -2.7435
8.1595 -1.8566 -2.1204
3.0768 -4.3596 -1.2521
3.4591 -6.9487 -1.9496
4.1293 -5.2113 5.0443
3.9697 -2.3668 1.3870
3.5874 0.2223 2.0845
2.9172 -1.5151 -4.9094
4.0830 -0.1070 4.4020
-1.1130 -4.8698 2.2553
4.9624 -6.0006 2.8784
5.2797 -2.5606 4.4895
4.4250 -4.3471 -3.8674
5.3761 -6.3542 0.2019
0.6843 -6.7407 4.9901
1.0512 -6.8631 2.2865
6.0493 0.5380 6.4938
6.1909 -3.3766 2.3654
0.5029 -2.8933 2.8818
5.9166 -1.0329 2.7616
5.4323 -0.4066 0.1714
2.5831 -6.0561 7.1311
1.9465 -4.7118 3.6673
7.5367 -2.4632 0.1714
7.0775 1.6307 2.2979
1.8694 -2.9708 0.2771
7.0963 1.3268 -0.3132
3.3728 -4.7260 1.0938
9.2111 -0.7169 -0.2222
```

## Properties
Final energy = -416.24 eV for the cell shown

***

Entry 8:
## BeB2Pt8 (GGA-PBE)

Data for a relaxed structure of BeB2Pt8.

```
BeB2Pt8
1.0
-1.5607 -0.4559 2.3337
-3.5606 -4.1974 -3.2013
5.2625 -6.7945 0.4588
Be B Pt
1 2 8
Cartesian
-0.7804 -0.2280 1.1668
0.9146 -5.6194 1.2471
-0.7734 -5.8285 -1.6560
1.5414 -8.9966 -0.7268
-2.6856 -6.7881 -1.3890
-0.2968 -7.0672 0.1541
2.1259 -7.3295 1.7231
0.4380 -4.3807 -0.5629
2.8268 -4.6598 0.9802
-1.4002 -2.4513 0.3180
-1.9847 -4.1183 -2.1319
```

## Properties
Final energy = -68.21 eV for the cell shown

***

Entry 9:
## CuRuRh2 (GGA-PBE)

Data for a relaxed structure of CuRuRh2.

```
CuRuRh2
1.0
-1.2745 0.7115 2.2252
2.4035 -1.1245 0.2026
3.8643 8.1871 -0.4043
Cu Rh Ru
1 2 1
Cartesian
3.4640 5.9365 0.9106
3.8434 8.1429 -0.4021
1.5383 1.8566 1.1120
1.9441 4.1188 -0.2034
```

## Properties
Energy above the most stable polymorph in this dataset = 0.253 eV per atom

***

Entry 10:
## HfUAgO6 (GGA-PBE)

Data for a relaxed structure of HfUAgO6.

```
HfUAgO6
1.0
7.7075 0.0000 0.0000
0.0000 8.0177 0.0000
-3.8538 -4.0088 5.5234
Hf U Ag O
2 2 2 12
Cartesian
1.9269 -2.0044 2.7617
-1.9269 -2.0044 2.7617
3.8538 4.0088 0.0000
3.8538 0.0000 0.0000
3.8538 2.0044 5.4391
0.0000 2.0044 0.0843
0.0000 2.0044 4.8464
3.8538 -2.0044 3.4620
5.2984 -0.5609 1.3266
2.4092 4.5697 1.3266
2.4092 -0.5609 1.3266
5.2984 4.5697 1.3266
3.8538 2.0044 0.6770
0.0000 6.0132 2.0614
-1.4446 4.5697 4.1968
1.4446 -0.5609 4.1968
1.4446 4.5697 4.1968
-1.4446 -0.5609 4.1968
```

## Properties
Formation energy from raw total energies = -2.331 eV per atom

***

Entry 11:
## SrTiAl2 (GGA-PBE)

Data for a relaxed structure of SrTiAl2.

```
SrTiAl2
1.0
0.0000 3.5218 3.5218
3.5218 0.0000 3.5218
3.5218 3.5218 0.0000
Sr Al Ti
1 2 1
Cartesian
3.5218 3.5218 3.5218
1.7609 1.7609 1.7609
5.2827 5.2827 5.2827
0.0000 0.0000 0.0000
```

## Properties
Energy above the most stable polymorph in this dataset = 0.000 eV per atom

***

Entry 12:
## La4Te3N2 (GGA-PBE)

Data for a relaxed structure of La4Te3N2.

```
La4Te3N2
1.0
7.5217 0.0000 0.0000
0.0000 11.7024 0.0000
0.0000 0.0000 11.8650
La Te N
16 12 8
Cartesian
4.8712 1.2801 11.2743
6.4113 7.1313 0.5907
1.6967 0.3557 8.8987
2.0642 6.2069 2.9662
5.8250 11.3467 2.9662
2.6505 10.4223 5.3418
2.6505 10.4223 0.5907
6.8407 4.0040 2.9662
5.4575 5.4955 8.8987
1.1104 4.5711 11.2743
0.6810 7.6984 8.8987
4.4418 9.8552 8.8987
6.4113 7.1313 5.3418
4.8712 1.2801 6.5232
3.0798 1.8472 2.9662
1.1104 4.5711 6.5232
7.0296 10.1090 6.8538
0.4920 1.5934 0.9213
3.2688 7.4445 6.8538
3.1618 3.1638 8.8987
4.2529 4.2578 5.0111
7.0296 10.1090 10.9436
0.5990 9.0150 2.9662
4.2529 4.2578 0.9213
0.4920 1.5934 5.0111
4.3599 8.5385 2.9662
3.2688 7.4445 10.9436
6.9226 2.6873 8.8987
0.4021 5.4616 4.4884
4.1629 0.3896 1.4441
3.3588 11.3128 7.3766
7.1196 6.2408 7.3766
3.3588 11.3128 10.4209
7.1196 6.2408 10.4209
4.1629 0.3896 4.4884
0.4021 5.4616 1.4441
```

## Properties
Formation energy from raw total energies = -1.666 eV per atom
Energy above the most stable polymorph in this dataset = 0.000 eV per atom